# 1
La2MgP2N6 | GGA-PBE | optimized geometry

Lattice parameters (Å, degrees): 5.5436 5.5436 16.7901 90.00 90.00 120.00
Space group R-3m (No. 166, hexagonal axes)
One atom of each set of equivalent atoms:
La 0.0000 0.0000 0.2131 [6 per cell]
Mg 0.0000 0.0000 0.0000 [3 per cell]
P 0.0000 0.0000 0.4184 [6 per cell]
N 0.0049 0.5025 0.2467 [18 per cell]

Output
E_form (uncorrected) ... -0.909 eV/atom
Electronic total energy ... -82.2 eV/f.u.


# 2
GeAsBr2Cl | GGA-PBE | optimized geometry

Lattice parameters (Å, degrees): 5.098 5.098 5.470 90.00 90.00 90.00
Space group P4/mmm (No. 123)
One atom of each set of equivalent atoms:
Ge 0.000 0.000 0.000 [1 per cell]
As 0.000 0.000 0.500 [1 per cell]
Br 0.000 0.500 0.000 [2 per cell]
Cl 0.500 0.500 0.500 [1 per cell]

Output
E_form (uncorrected) ... 0.257 eV/atom
Electronic total energy ... -13.2 eV/f.u.


# 3
Lu2CoSe | GGA-PBE | optimized geometry

Lattice parameters (Å, degrees): 3.380 3.380 6.930 90.00 90.00 90.00
Space group P4/mmm (No. 123)
One atom of each set of equivalent atoms:
Lu 0.000 0.000 0.228 [2 per cell]
Co 0.500 0.500 0.000 [1 per cell]
Se 0.500 0.500 0.500 [1 per cell]

Output
E_form (uncorrected) ... -0.768 eV/atom
Electronic total energy ... -22.7 eV/f.u.


# 4
AcTiSb2 | GGA-PBE | optimized geometry

Lattice parameters (Å, degrees): 7.630 7.630 7.630 90.00 90.00 90.00
Space group Fm-3m (No. 225)
One atom of each set of equivalent atoms:
Ac 0.000 0.000 0.000 [4 per cell]
Ti 0.000 0.000 0.500 [4 per cell]
Sb 0.250 0.250 0.250 [8 per cell]

Output
E_form (uncorrected) ... -0.409 eV/atom
Electronic total energy ... -21.9 eV/f.u.


# 5
CePr2Nd8 | GGA-PBE | optimized geometry

Lattice parameters (Å, degrees): 5.761 8.313 16.215 90.00 90.00 90.00
Space group Immm (No. 71)
One atom of each set of equivalent atoms:
Ce 0.000 0.000 0.000 [2 per cell]
Pr 0.000 0.000 0.300 [4 per cell]
Nd 0.000 0.212 0.500 [4 per cell]
Nd 0.000 0.290 0.133 [8 per cell]
Nd 0.000 0.500 0.340 [4 per cell]

Output
Formation enthalpy at 0 K ... 114 meV per atom
Electronic total energy ... -52.4 eV/f.u.


# 6
Ho4Er3Zr | GGA-PBE | optimized geometry

Lattice parameters (Å, degrees): 22.558 3.375 6.622 90.00 107.04 90.00
Space group C2/m (No. 12)
One atom of each set of equivalent atoms:
Ho 0.120 0.000 0.357 [4 per cell]
Ho 0.241 0.500 0.240 [4 per cell]
Er 0.000 0.000 0.500 [2 per cell]
Er 0.120 0.000 0.884 [4 per cell]
Zr 0.000 0.500 0.000 [2 per cell]

Output
Formation enthalpy at 0 K ... 205 meV per atom
Electronic total energy ... -38.9 eV/f.u.


# 7
La2TbPr | GGA-PBE | optimized geometry

Lattice parameters (Å, degrees): 5.223 5.223 5.175 90.00 90.00 90.00
Space group P4/mmm (No. 123)
One atom of each set of equivalent atoms:
La 0.000 0.500 0.000 [2 per cell]
Tb 0.000 0.000 0.500 [1 per cell]
Pr 0.500 0.500 0.500 [1 per cell]

Output
Formation enthalpy at 0 K ... 11 meV per atom
Electronic total energy ... -19.2 eV/f.u.


> Among the records above, which one has the highest electronic total energy?

GeAsBr2Cl


> Which formula does entry 4 have?

AcTiSb2


> Which formula does entry 4 have?

AcTiSb2